# LaIn2Bi | the Alexandria database | GGA-PBE | relaxed
# DFT formation energy   0.0982 eV per atom
# Crystal system   trigonal
data_LaIn2Bi
_cell_length_a 3.5384
_cell_length_b 3.5384
_cell_length_c 36.0069
_cell_angle_alpha 90.00
_cell_angle_beta 90.00
_cell_angle_gamma 120.00
_space_group_name_H-M_alt 'R -3 m'
_space_group_IT_number 166
_space_group_name_Hall '-R 3 2"'
loop_
_atom_site_label
_atom_site_type_symbol
_atom_site_fract_x
_atom_site_fract_y
_atom_site_fract_z
La1 La 0.0000 0.0000 0.0000
In1 In 0.0000 0.0000 0.0910
Bi1 Bi 0.0000 0.0000 0.5000

# La2InBi5 | the Alexandria database | GGA-PBE | relaxed
# DFT formation energy   -0.5463 eV per atom
# Crystal system   orthorhombic
data_La2InBi5
_cell_length_a 9.4261
_cell_length_b 10.2452
_cell_length_c 5.1428
_cell_angle_alpha 90.00
_cell_angle_beta 90.00
_cell_angle_gamma 90.00
_space_group_name_H-M_alt 'C m m m'
_space_group_IT_number 65
_space_group_name_Hall '-C 2 2'
loop_
_atom_site_label
_atom_site_type_symbol
_atom_site_fract_x
_atom_site_fract_y
_atom_site_fract_z
La1 La 0.0000 0.2394 0.0000
In1 In 0.0000 0.5000 0.5000
Bi1 Bi 0.0000 0.0000 0.5000
Bi2 Bi 0.2372 0.5000 0.0000
Bi3 Bi 0.2500 0.2500 0.5000

# La4InBi | the Alexandria database | GGA-PBE | relaxed
# Distance to the lowest polymorph of the same formula   0 meV per atom
# DFT formation energy   -0.4913 eV per atom
# Crystal system   monoclinic
data_La4InBi
_cell_length_a 9.1648
_cell_length_b 14.8395
_cell_length_c 6.4218
_cell_angle_alpha 90.00
_cell_angle_beta 112.36
_cell_angle_gamma 90.00
_space_group_name_H-M_alt 'C 1 2/c 1'
_space_group_IT_number 15
loop_
_space_group_symop_operation_xyz
'x,y,z'
'-x,-y,-z'
'-x,y,-z+1/2'
'x,-y,z+1/2'
'x+1/2,y+1/2,z'
'-x+1/2,-y+1/2,-z'
'-x+1/2,y+1/2,-z+1/2'
'x+1/2,-y+1/2,z+1/2'
loop_
_atom_site_label
_atom_site_type_symbol
_atom_site_fract_x
_atom_site_fract_y
_atom_site_fract_z
La1 La 0.1063 0.1897 0.0623
La2 La 0.1851 0.4129 0.3408
In1 In 0.0000 0.0013 0.7500
Bi1 Bi 0.0000 0.3828 0.7500

> Which of these has the highest DFT formation energy?

LaIn2Bi

Repeat the third record exactly.
# La4InBi | the Alexandria database | GGA-PBE | relaxed
# Distance to the lowest polymorph of the same formula   0 meV per atom
# DFT formation energy   -0.4913 eV per atom
# Crystal system   monoclinic
data_La4InBi
_cell_length_a 9.1648
_cell_length_b 14.8395
_cell_length_c 6.4218
_cell_angle_alpha 90.00
_cell_angle_beta 112.36
_cell_angle_gamma 90.00
_space_group_name_H-M_alt 'C 1 2/c 1'
_space_group_IT_number 15
loop_
_space_group_symop_operation_xyz
'x,y,z'
'-x,-y,-z'
'-x,y,-z+1/2'
'x,-y,z+1/2'
'x+1/2,y+1/2,z'
'-x+1/2,-y+1/2,-z'
'-x+1/2,y+1/2,-z+1/2'
'x+1/2,-y+1/2,z+1/2'
loop_
_atom_site_label
_atom_site_type_symbol
_atom_site_fract_x
_atom_site_fract_y
_atom_site_fract_z
La1 La 0.1063 0.1897 0.0623
La2 La 0.1851 0.4129 0.3408
In1 In 0.0000 0.0013 0.7500
Bi1 Bi 0.0000 0.3828 0.7500